Material: TlIr2Pb2
Method: DFT, PBE
State: relaxed

Lattice parameters (Å, degrees): 4.784 4.784 6.373 67.96 67.96 90.00
Fractional coordinates of all 5 atoms:
Pb  0.750  0.250  0.500
Pb  0.250  0.750  0.500
Tl  0.000  0.000  0.000
Ir  0.387  0.387  0.226
Ir  0.613  0.613  0.774

Computed properties:
- space group = No. 139
- energy relative to the lowest polymorph listed for this composition (meV/atom) = 21.4
- calculated volume (Å³/atom) = 24.72
- ΔH_f (0 K) (eV per atom) = 0.4235


Material: Zn2Ge3O8
Method: DFT, PBE
State: relaxed

Lattice parameters (Å, degrees): 5.009 5.755 5.755 60.30 80.09 80.09
Fractional coordinates of all 13 atoms:
Zn  0.403  0.706  0.706
Zn  0.597  0.294  0.294
Ge  0.500  0.000  0.000
Ge  0.000  0.742  0.258
Ge  0.000  0.258  0.742
O  0.900  0.395  0.395
O  0.100  0.605  0.605
O  0.866  0.901  0.901
O  0.134  0.099  0.099
O  0.635  0.340  0.889
O  0.635  0.889  0.340
O  0.365  0.111  0.660
O  0.365  0.660  0.111

Computed properties:
- space group = No. 12
- energy relative to the lowest polymorph listed for this composition (meV/atom) = 28.1
- calculated volume (Å³/atom) = 10.86


Number 2 is which compound? Zn2Ge3O8


Repeat the second record exactly.
Material: Zn2Ge3O8
Method: DFT, PBE
State: relaxed

Lattice parameters (Å, degrees): 5.009 5.755 5.755 60.30 80.09 80.09
Fractional coordinates of all 13 atoms:
Zn  0.403  0.706  0.706
Zn  0.597  0.294  0.294
Ge  0.500  0.000  0.000
Ge  0.000  0.742  0.258
Ge  0.000  0.258  0.742
O  0.900  0.395  0.395
O  0.100  0.605  0.605
O  0.866  0.901  0.901
O  0.134  0.099  0.099
O  0.635  0.340  0.889
O  0.635  0.889  0.340
O  0.365  0.111  0.660
O  0.365  0.660  0.111

Computed properties:
- space group = No. 12
- energy relative to the lowest polymorph listed for this composition (meV/atom) = 28.1
- calculated volume (Å³/atom) = 10.86


The highest energy relative to the lowest polymorph listed for this composition belongs to which entry? Zn2Ge3O8